Record 1
La2Mo2Au | PBEsol | relaxed

The space group is I4/mmm (No. 139) and the conventional cell measures 3.6123, 3.6123 and 18.1736 Å, with angles of 90.00, 90.00 and 90.00 degrees. The inequivalent atoms are La at (0.0000, 0.0000, 0.1052), Mo at (0.0000, 0.5000, 0.2500) and Au at (0.0000, 0.0000, 0.5000).

As for the crystal system: tetragonal. The calculation puts the size of the total moment at 0.0 μB per cell. As for the formation energy: 0.127 eV per atom. As for the total energy: -37.516 eV/f.u. The density of states at the Fermi level comes out at 0.75 states/eV per atom.

---

Record 2
LaAuN2 | PBEsol | relaxed

The space group is R-3m (No. 166, hexagonal axes) and the conventional cell measures 3.9234, 3.9234 and 17.3929 Å, with angles of 90.00, 90.00 and 120.00 degrees. The inequivalent atoms are La at (0.0000, 0.0000, 0.0000), Au at (0.0000, 0.0000, 0.5000) and N at (0.0000, 0.0000, 0.3910).

As for the crystal system: trigonal. The calculation puts the size of the total moment at 0.0 μB per cell. As for the total energy: -27.096 eV/f.u. The density of states at the Fermi level comes out at 0.96 states/eV per atom.

---

Record 3
La3AuN | PBEsol | relaxed

The space group is Pnma (No. 62) and the conventional cell measures 7.1954, 9.9667 and 6.8617 Å, with angles of 90.00, 90.00 and 90.00 degrees. The inequivalent atoms are La at (0.0253, 0.2500, 0.0968), La at (0.2082, 0.0466, 0.7007), Au at (0.0632, 0.7500, 0.4670) and N at (0.0000, 0.0000, 0.0000).

As for the crystal system: orthorhombic. The calculation puts the size of the total moment at 0.0 μB per cell. As for the total energy: -33.230 eV/f.u. The density of states at the Fermi level comes out at 0.68 states/eV per atom.

---

Record 4
LaNiAu2N | PBEsol | relaxed

The space group is P4/mmm (No. 123) and the conventional cell measures 5.5762, 5.5762 and 3.9808 Å, with angles of 90.00, 90.00 and 90.00 degrees. The inequivalent atoms are La at (0.0000, 0.0000, 0.0000), Ni at (0.5000, 0.5000, 0.5000), Au at (0.0000, 0.5000, 0.0000) and N at (0.0000, 0.0000, 0.5000).

As for the crystal system: tetragonal. The calculation puts the size of the total moment at 1.1 μB per cell. As for the total energy: -21.891 eV/f.u. The density of states at the Fermi level comes out at 1.82 states/eV per atom.

---

Record 5
LaAuN2O | PBEsol | relaxed

The space group is P4/mmm (No. 123) and the conventional cell measures 4.8071, 4.8071 and 4.2505 Å, with angles of 90.00, 90.00 and 90.00 degrees. The inequivalent atoms are La at (0.0000, 0.0000, 0.0000), Au at (0.5000, 0.5000, 0.5000), N at (0.0000, 0.5000, 0.0000) and O at (0.0000, 0.0000, 0.5000).

As for the crystal system: tetragonal. The calculation puts the size of the total moment at 3.6 μB per cell. As for the total energy: -26.785 eV/f.u. The density of states at the Fermi level comes out at 0.54 states/eV per atom.

---

Record 6
LaRuAuN2 | PBEsol | relaxed

The space group is P4/mmm (No. 123) and the conventional cell measures 3.9327, 3.9327 and 5.7183 Å, with angles of 90.00, 90.00 and 90.00 degrees. The inequivalent atoms are La at (0.0000, 0.0000, 0.0000), Ru at (0.0000, 0.0000, 0.5000), Au at (0.5000, 0.5000, 0.0000) and N at (0.0000, 0.5000, 0.5000).

As for the crystal system: tetragonal. The calculation puts the size of the total moment at 0.0 μB per cell. As for the total energy: -34.019 eV/f.u. The density of states at the Fermi level comes out at 0.35 states/eV per atom.

---

Record 7
LaAuSeN2 | PBEsol | relaxed

The space group is P4/mmm (No. 123) and the conventional cell measures 4.2038, 4.2038 and 4.9117 Å, with angles of 90.00, 90.00 and 90.00 degrees. The inequivalent atoms are La at (0.0000, 0.0000, 0.0000), Au at (0.5000, 0.5000, 0.5000), Se at (0.5000, 0.5000, 0.0000) and N at (0.0000, 0.5000, 0.5000).

As for the crystal system: tetragonal. The calculation puts the size of the total moment at 1.4 μB per cell. As for the total energy: -27.948 eV/f.u. The density of states at the Fermi level comes out at 0.51 states/eV per atom.

---

Record 8
La2NbPAu | PBEsol | relaxed

The space group is P4/mmm (No. 123) and the conventional cell measures 5.4994, 5.4994 and 4.5893 Å, with angles of 90.00, 90.00 and 90.00 degrees. The inequivalent atoms are La at (0.0000, 0.5000, 0.0000), Nb at (0.0000, 0.0000, 0.5000), P at (0.0000, 0.0000, 0.0000) and Au at (0.5000, 0.5000, 0.5000).

As for the crystal system: tetragonal. The calculation puts the size of the total moment at 1.1 μB per cell. As for the formation energy: -0.216 eV per atom. As for the total energy: -32.307 eV/f.u. The density of states at the Fermi level comes out at 0.99 states/eV per atom.

---

Record 9
LaYNbAu2 | PBEsol | relaxed

The space group is P4/mmm (No. 123) and the conventional cell measures 5.0888, 5.0888 and 5.5338 Å, with angles of 90.00, 90.00 and 90.00 degrees. The inequivalent atoms are La at (0.0000, 0.0000, 0.0000), Y at (0.0000, 0.0000, 0.5000), Nb at (0.5000, 0.5000, 0.0000) and Au at (0.0000, 0.5000, 0.5000).

As for the crystal system: tetragonal. The calculation puts the size of the total moment at 3.1 μB per cell. As for the formation energy: 1.203 eV per atom. As for the total energy: -24.821 eV/f.u. The density of states at the Fermi level comes out at 0.98 states/eV per atom.

---

Record 10
LaNi2Au | PBEsol | relaxed

The space group is Fm-3m (No. 225) and the conventional cell measures 6.4463, 6.4463 and 6.4463 Å, with angles of 90.00, 90.00 and 90.00 degrees. The inequivalent atoms are La at (0.0000, 0.0000, 0.0000), Ni at (0.2500, 0.2500, 0.2500) and Au at (0.0000, 0.0000, 0.5000).

As for the crystal system: cubic. The calculation puts the size of the total moment at 0.0 μB per cell. As for the formation energy: -0.199 eV per atom. As for the total energy: -22.383 eV/f.u. The density of states at the Fermi level comes out at 0.62 states/eV per atom.

---

Record 11
LaNiAu2 | PBEsol | relaxed

The space group is Imm2 (No. 44) and the conventional cell measures 4.1645, 4.4561 and 8.2518 Å, with angles of 90.00, 90.00 and 90.00 degrees. The inequivalent atoms are La at (0.0000, 0.0000, 0.0000), Ni at (0.0000, 0.5000, 0.7561), Au at (0.0000, 0.0000, 0.4822) and Au at (0.0000, 0.5000, 0.2396).

As for the crystal system: orthorhombic. The calculation puts the size of the total moment at 0.0 μB per cell. As for the formation energy: -0.340 eV per atom. As for the total energy: -20.711 eV/f.u. The density of states at the Fermi level comes out at 0.67 states/eV per atom.

---

Record 12
LaNi2Au | PBEsol | relaxed

The space group is R-3m (No. 166, hexagonal axes) and the conventional cell measures 4.3381, 4.3381 and 13.6047 Å, with angles of 90.00, 90.00 and 120.00 degrees. The inequivalent atoms are La at (0.0000, 0.0000, 0.0000), Ni at (0.0000, 0.0000, 0.1917) and Au at (0.0000, 0.0000, 0.5000).

As for the crystal system: trigonal. The calculation puts the size of the total moment at 0.0 μB per cell. As for the formation energy: -0.394 eV per atom. As for the total energy: -23.161 eV/f.u. The density of states at the Fermi level comes out at 0.58 states/eV per atom.

---

Record 13
LaNi2Au | PBEsol | relaxed

The space group is Imm2 (No. 44) and the conventional cell measures 3.7426, 4.0560 and 8.8939 Å, with angles of 90.00, 90.00 and 90.00 degrees. The inequivalent atoms are La at (0.0000, 0.0000, 0.0000), Ni at (0.0000, 0.0000, 0.4805), Ni at (0.0000, 0.5000, 0.7622) and Au at (0.0000, 0.5000, 0.2406).

As for the crystal system: orthorhombic. The calculation puts the size of the total moment at 0.0 μB per cell. As for the formation energy: -0.196 eV per atom. As for the total energy: -22.370 eV/f.u. The density of states at the Fermi level comes out at 0.33 states/eV per atom.

---

Record 14
LaNiAu2 | PBEsol | relaxed

The space group is P2/m (No. 10) and the conventional cell measures 4.0643, 4.2798 and 4.9827 Å, with angles of 90.00, 110.18 and 90.00 degrees. The inequivalent atoms are La at (0.0000, 0.0000, 0.0000), Ni at (0.5000, 0.0000, 0.5000) and Au at (0.3393, 0.5000, 0.7047).

As for the crystal system: monoclinic. The calculation puts the size of the total moment at 0.0 μB per cell. As for the formation energy: -0.387 eV per atom. As for the total energy: -20.898 eV/f.u. The density of states at the Fermi level comes out at 0.49 states/eV per atom.